1.
# Pu2PdPt3 (PBE, optimized geometry)
data_Pu2PdPt3
_chemical_formula_sum 'Pu2 Pd1 Pt3'
_symmetry_space_group_name_H-M 'P 1'
_symmetry_Int_Tables_number 1
_symmetry_space_group_name_Hall 'P 1'
_cell_length_a 5.4611
_cell_length_b 5.4611
_cell_length_c 5.4401
_cell_angle_alpha 90.00
_cell_angle_beta 120.12
_cell_angle_gamma 120.00
loop_
_atom_site_label
_atom_site_type_symbol
_atom_site_fract_x
_atom_site_fract_y
_atom_site_fract_z
Pu1 Pu 0.7516 0.3758 0.1273
Pu2 Pu 0.2484 0.6242 0.8727
Pd1 Pd 0.0000 0.0000 0.0000
Pt1 Pt 0.5000 0.5000 0.5000
Pt2 Pt 0.0000 0.0000 0.5000
Pt3 Pt 0.5000 0.0000 0.5000
# space-group type = R-3m, No. 166
# E_tot = -56.68 eV/cell
# N(E_F) = 3.22 states/eV/atom

---

2.
# PuPd6Pt2 (PBE, optimized geometry)
data_PuPd6Pt2
_chemical_formula_sum 'Pu1 Pd6 Pt2'
_symmetry_space_group_name_H-M 'P 1'
_symmetry_Int_Tables_number 1
_symmetry_space_group_name_Hall 'P 1'
_cell_length_a 5.4028
_cell_length_b 5.4028
_cell_length_c 7.0431
_cell_angle_alpha 90.00
_cell_angle_beta 90.00
_cell_angle_gamma 120.00
loop_
_atom_site_label
_atom_site_type_symbol
_atom_site_fract_x
_atom_site_fract_y
_atom_site_fract_z
Pu1 Pu 0.0000 0.0000 0.0000
Pd1 Pd 0.5228 0.0000 0.1907
Pd2 Pd 0.4772 0.4772 0.1907
Pd3 Pd 0.0000 0.5228 0.1907
Pd4 Pd 0.5228 0.5228 0.8093
Pd5 Pd 0.0000 0.4772 0.8093
Pd6 Pd 0.4772 0.0000 0.8093
Pt1 Pt 0.3333 0.6667 0.5000
Pt2 Pt 0.6667 0.3333 0.5000
# ΔE to the lowest computed polymorph = 1.034 eV/f.u.
# space-group type = P-31m, No. 162
# N(E_F) = 2.53 states/eV/atom

---

3.
# Pu5Pd2Pt2 (PBE, optimized geometry)
data_Pu5Pd2Pt2
_chemical_formula_sum 'Pu10 Pd4 Pt4'
_symmetry_space_group_name_H-M 'P 1'
_symmetry_Int_Tables_number 1
_symmetry_space_group_name_Hall 'P 1'
_cell_length_a 8.3479
_cell_length_b 6.1718
_cell_length_c 9.5907
_cell_angle_alpha 108.77
_cell_angle_beta 115.80
_cell_angle_gamma 90.00
loop_
_atom_site_label
_atom_site_type_symbol
_atom_site_fract_x
_atom_site_fract_y
_atom_site_fract_z
Pu1 Pu 0.2423 0.6200 0.8831
Pu2 Pu 0.7577 0.7369 0.1169
Pu3 Pu 0.1408 0.1200 0.8831
Pu4 Pu 0.8592 0.2369 0.1169
Pu5 Pu 0.2855 0.0622 0.3165
Pu6 Pu 0.7145 0.7456 0.6835
Pu7 Pu 0.5310 0.5622 0.3165
Pu8 Pu 0.4690 0.2456 0.6835
Pu9 Pu 0.0438 0.8596 0.5000
Pu10 Pu 0.9562 0.3596 0.5000
Pd1 Pd 0.1446 0.5443 0.1730
Pd2 Pd 0.8553 0.3714 0.8270
Pd3 Pd 0.5283 0.0443 0.1730
Pd4 Pd 0.4717 0.8714 0.8270
Pt1 Pt 0.0000 0.8363 0.0000
Pt2 Pt 0.5000 0.3363 0.0000
Pt3 Pt 0.2973 0.5597 0.5000
Pt4 Pt 0.7027 0.0597 0.5000
# ΔE to the lowest computed polymorph = 1.378 eV/f.u.
# space-group type = Ima2, No. 46
# N(E_F) = 4.61 states/eV/atom

---

4.
# Pu2Pd2Pt (PBE, optimized geometry)
data_Pu2Pd2Pt
_chemical_formula_sum 'Pu4 Pd4 Pt2'
_symmetry_space_group_name_H-M 'P 1'
_symmetry_Int_Tables_number 1
_symmetry_space_group_name_Hall 'P 1'
_cell_length_a 5.1789
_cell_length_b 5.1789
_cell_length_c 9.5668
_cell_angle_alpha 90.64
_cell_angle_beta 90.64
_cell_angle_gamma 49.90
loop_
_atom_site_label
_atom_site_type_symbol
_atom_site_fract_x
_atom_site_fract_y
_atom_site_fract_z
Pu1 Pu 0.5614 0.0615 0.1529
Pu2 Pu 0.9385 0.4386 0.3471
Pu3 Pu 0.4386 0.9385 0.8471
Pu4 Pu 0.0615 0.5614 0.6529
Pd1 Pd 0.6501 0.1502 0.4617
Pd2 Pd 0.8498 0.3499 0.0383
Pd3 Pd 0.3499 0.8498 0.5383
Pd4 Pd 0.1502 0.6501 0.9617
Pt1 Pt 0.2500 0.7500 0.2500
Pt2 Pt 0.7500 0.2500 0.7500
# ΔE to the lowest computed polymorph = 0.000 eV/f.u.
# space-group type = C2/m, No. 12
# N(E_F) = 3.15 states/eV/atom

---

5.
# PuPd6Pt6 (PBE, optimized geometry)
data_PuPd6Pt6
_chemical_formula_sum 'Pu1 Pd6 Pt6'
_symmetry_space_group_name_H-M 'P 1'
_symmetry_Int_Tables_number 1
_symmetry_space_group_name_Hall 'P 1'
_cell_length_a 5.3141
_cell_length_b 6.9829
_cell_length_c 6.9829
_cell_angle_alpha 81.11
_cell_angle_beta 67.63
_cell_angle_gamma 67.63
loop_
_atom_site_label
_atom_site_type_symbol
_atom_site_fract_x
_atom_site_fract_y
_atom_site_fract_z
Pu1 Pu 0.0000 0.0000 0.0000
Pd1 Pd 0.3477 0.6523 0.6523
Pd2 Pd 0.6523 0.3477 0.3477
Pd3 Pd 0.0000 0.3456 0.6544
Pd4 Pd 0.0000 0.6544 0.3456
Pd5 Pd 0.2971 0.2029 0.2029
Pd6 Pd 0.7029 0.7971 0.7971
Pt1 Pt 0.0000 0.5000 0.0000
Pt2 Pt 0.5000 0.5000 0.0000
Pt3 Pt 0.0000 0.0000 0.5000
Pt4 Pt 0.5000 0.0000 0.5000
Pt5 Pt 0.5000 0.7753 0.2247
Pt6 Pt 0.5000 0.2247 0.7753
# space-group type = Immm, No. 71
# E_tot = -84.50 eV/cell
# N(E_F) = 2.35 states/eV/atom

---

6.
# Pu2Pd2Pt3 (PBE, optimized geometry)
data_Pu2Pd2Pt3
_chemical_formula_sum 'Pu2 Pd2 Pt3'
_symmetry_space_group_name_H-M 'P 1'
_symmetry_Int_Tables_number 1
_symmetry_space_group_name_Hall 'P 1'
_cell_length_a 2.8423
_cell_length_b 4.8003
_cell_length_c 9.8874
_cell_angle_alpha 104.05
_cell_angle_beta 98.26
_cell_angle_gamma 90.00
loop_
_atom_site_label
_atom_site_type_symbol
_atom_site_fract_x
_atom_site_fract_y
_atom_site_fract_z
Pu1 Pu 0.6443 0.1443 0.2886
Pu2 Pu 0.3557 0.8557 0.7114
Pd1 Pd 0.5680 0.5680 0.1360
Pd2 Pd 0.4320 0.4320 0.8640
Pt1 Pt 0.0000 0.0000 0.0000
Pt2 Pt 0.2044 0.7044 0.4089
Pt3 Pt 0.7956 0.2956 0.5911
# space-group type = Immm, No. 71
# E_tot = -59.87 eV/cell
# N(E_F) = 1.97 states/eV/atom

---

7.
# Pu8Pd5Pt (PBE, optimized geometry)
data_Pu8Pd5Pt
_chemical_formula_sum 'Pu8 Pd5 Pt1'
_symmetry_space_group_name_H-M 'P 1'
_symmetry_Int_Tables_number 1
_symmetry_space_group_name_Hall 'P 1'
_cell_length_a 7.5552
_cell_length_b 7.5552
_cell_length_c 7.5552
_cell_angle_alpha 109.48
_cell_angle_beta 109.46
_cell_angle_gamma 109.48
loop_
_atom_site_label
_atom_site_type_symbol
_atom_site_fract_x
_atom_site_fract_y
_atom_site_fract_z
Pu1 Pu 0.1245 0.7479 0.0168
Pu2 Pu 0.9832 0.1077 0.7311
Pu3 Pu 0.7721 0.2517 0.3778
Pu4 Pu 0.6222 0.3943 0.8739
Pu5 Pu 0.4796 0.6057 0.2279
Pu6 Pu 0.6234 0.8923 0.8755
Pu7 Pu 0.2689 0.2521 0.3766
Pu8 Pu 0.1261 0.7483 0.5204
Pd1 Pd 0.9973 0.3740 0.1233
Pd2 Pd 0.8767 0.8740 0.2507
Pd3 Pd 0.7493 0.6260 0.6233
Pd4 Pd 0.5000 0.0000 0.5000
Pd5 Pd 0.3767 0.1260 0.0027
Pt1 Pt 0.2500 0.5000 0.7500
# space-group type = I-4, No. 82
# E_tot = -151.87 eV/cell
# N(E_F) = 4.97 states/eV/atom

---

8.
# PuPd2Pt (PBE, optimized geometry)
data_PuPd2Pt
_chemical_formula_sum 'Pu1 Pd2 Pt1'
_symmetry_space_group_name_H-M 'P 1'
_symmetry_Int_Tables_number 1
_symmetry_space_group_name_Hall 'P 1'
_cell_length_a 4.2043
_cell_length_b 4.2043
_cell_length_c 5.0512
_cell_angle_alpha 114.59
_cell_angle_beta 114.59
_cell_angle_gamma 90.00
loop_
_atom_site_label
_atom_site_type_symbol
_atom_site_fract_x
_atom_site_fract_y
_atom_site_fract_z
Pu1 Pu 0.2500 0.7500 0.5000
Pd1 Pd 0.5000 0.5000 0.0000
Pd2 Pd 0.7500 0.2500 0.5000
Pt1 Pt 0.0000 0.0000 0.0000
# ΔE to the lowest computed polymorph = 0.361 eV/f.u.
# space-group type = I-4m2, No. 119
# N(E_F) = 3.00 states/eV/atom

---

- Look up the N(E_F) of the fifth one.
  2.35 states/eV/atom